Entry 1:
Entry from the Alexandria database: Y4TlTe after structural relaxation (PBE). Values from VASP.

Computed properties:
Formation energy without anion corrections (eV/atom): -0.548
SG: Pnma (62)

Structure (Quantum ESPRESSO input):
```
&SYSTEM
  ibrav = 0, nat = 24, ntyp = 3
/
ATOMIC_SPECIES
Y 88.91 Y.upf
Te 127.60 Te.upf
Tl 204.38 Tl.upf
ATOMIC_POSITIONS crystal
Y 0.250 0.586 0.717
Te 0.750 0.296 0.716
Y 0.250 0.640 0.972
Y 0.250 0.086 0.783
Te 0.750 0.796 0.784
Y 0.750 0.914 0.217
Y 0.750 0.949 0.923
Te 0.250 0.704 0.284
Y 0.250 0.051 0.077
Y 0.250 0.140 0.528
Y 0.750 0.360 0.028
Te 0.250 0.204 0.216
Y 0.250 0.570 0.142
Tl 0.250 0.717 0.571
Y 0.250 0.551 0.423
Y 0.750 0.930 0.642
Y 0.750 0.860 0.472
Tl 0.750 0.783 0.071
Tl 0.250 0.217 0.929
Y 0.750 0.414 0.283
Tl 0.750 0.283 0.429
Y 0.250 0.070 0.358
Y 0.750 0.449 0.577
Y 0.750 0.430 0.858
CELL_PARAMETERS angstrom
-4.179 0.886 1.875
-1.464 -7.262 0.169
8.367 -1.238 19.235
```

Entry 2:
Entry from the Alexandria database: YTl2Te after structural relaxation (PBE). Values from VASP.

Computed properties:
Formation energy without anion corrections (eV/atom): -0.475
SG: C2/m (12)

Structure (Quantum ESPRESSO input):
```
&SYSTEM
  ibrav = 0, nat = 4, ntyp = 3
/
ATOMIC_SPECIES
Te 127.60 Te.upf
Tl 204.38 Tl.upf
Y 88.91 Y.upf
ATOMIC_POSITIONS crystal
Te 0.000 0.500 0.500
Tl 0.000 0.000 0.000
Y 0.500 0.000 0.500
Tl 0.500 0.500 0.000
CELL_PARAMETERS angstrom
6.779 0.004 -0.001
-3.903 5.543 -0.001
1.413 2.724 3.233
```

Entry 3:
Entry from the Alexandria database: Y3TlTe2 after structural relaxation (PBE). Values from VASP.

Computed properties:
Formation energy without anion corrections (eV/atom): -1.038
SG: Immm (71)

Structure (Quantum ESPRESSO input):
```
&SYSTEM
  ibrav = 0, nat = 6, ntyp = 3
/
ATOMIC_SPECIES
Y 88.91 Y.upf
Tl 204.38 Tl.upf
Te 127.60 Te.upf
ATOMIC_POSITIONS crystal
Y 0.836 0.336 0.172
Tl 0.500 0.500 0.500
Te 0.169 0.169 0.837
Te 0.831 0.831 0.163
Y 0.164 0.664 0.828
Y 0.500 0.000 0.500
CELL_PARAMETERS angstrom
4.269 0.000 0.000
0.000 6.202 0.000
-2.135 -3.101 6.748
```

Entry 4:
Entry from the Alexandria database: Y3TlTe4 after structural relaxation (PBE). Values from VASP.

Computed properties:
Formation energy without anion corrections (eV/atom): -1.187
SG: P6_3/mmc (194)

Structure (Quantum ESPRESSO input):
```
&SYSTEM
  ibrav = 0, nat = 16, ntyp = 3
/
ATOMIC_SPECIES
Te 127.60 Te.upf
Y 88.91 Y.upf
Tl 204.38 Tl.upf
ATOMIC_POSITIONS crystal
Te 0.000 0.000 0.172
Te 0.000 0.000 0.328
Y 0.000 0.000 0.000
Y 0.667 0.333 0.385
Te 0.333 0.667 0.442
Y 0.333 0.667 0.885
Tl 0.667 0.333 0.750
Te 0.000 0.000 0.828
Te 0.667 0.333 0.942
Y 0.667 0.333 0.115
Te 0.667 0.333 0.558
Tl 0.333 0.667 0.250
Te 0.000 0.000 0.672
Te 0.333 0.667 0.058
Y 0.333 0.667 0.615
Y 0.000 0.000 0.500
CELL_PARAMETERS angstrom
-3.362 -2.753 -0.617
3.997 -1.051 -1.477
6.327 -13.763 26.915
```

Calculated total magnetization, 0.000 0.000 0.000 0.000 μB/cell (same order as the records).
Calculated ρ, 6.29 8.54 6.75 6.33 g cm⁻³ (same order as the records).